Entry 1:
Compound: CaPmHgPd
Source: Alexandria
Functional: GGA-PBE
Structure: optimized geometry

abc: 7.349 7.349 7.349
angles: 90.00 90.00 90.00
Space group F-43m (No. 216)
Symmetry-distinct sites (fractional):
Ca (0.000, 0.000, 0.000) [4 per cell]
Pm (0.000, 0.000, 0.500) [4 per cell]
Hg (0.250, 0.250, 0.750) [4 per cell]
Pd (0.250, 0.250, 0.250) [4 per cell]

Output
Its crystal system is cubic. The calculation puts the raw total energy at -3.6625 eV/atom. For the total moment, the calculation gives 0.00 μB per cell.

Entry 2:
Compound: CaPrHgPd
Source: Alexandria
Functional: GGA-PBE
Structure: optimized geometry

abc: 7.411 7.411 7.411
angles: 90.00 90.00 90.00
Space group F-43m (No. 216)
Symmetry-distinct sites (fractional):
Ca (0.000, 0.000, 0.000) [4 per cell]
Pr (0.000, 0.000, 0.500) [4 per cell]
Hg (0.250, 0.250, 0.750) [4 per cell]
Pd (0.250, 0.250, 0.250) [4 per cell]

Output
Its crystal system is cubic. The calculation puts the raw total energy at -3.6636 eV/atom. For the total moment, the calculation gives 0.00 μB per cell.